--- a ---
The following is a GGA-PBE calculation of Li3InRh after structural relaxation, from the Alexandria database. Values from VASP.

Structure (Quantum ESPRESSO input):
```
&SYSTEM
  ibrav = 0, nat = 20, ntyp = 3
/
ATOMIC_SPECIES
Li 6.94 Li.upf
In 114.82 In.upf
Rh 102.91 Rh.upf
CELL_PARAMETERS angstrom
5.6196 0.0000 0.0000
0.0000 8.5621 0.0000
-4.7552 0.0000 6.5372
ATOMIC_POSITIONS crystal
Li 0.0323 0.1260 0.2618
Li 0.0323 0.3740 0.7618
Li 0.2140 0.6480 0.6461
Li 0.2140 0.8520 0.1461
Li 0.3702 0.6199 0.0330
Li 0.3702 0.8801 0.5330
Li 0.6298 0.1199 0.4670
Li 0.6298 0.3801 0.9670
Li 0.7860 0.1480 0.8539
Li 0.7860 0.3520 0.3539
Li 0.9677 0.6260 0.2382
Li 0.9677 0.8740 0.7382
In 0.3828 0.1323 0.0557
In 0.3828 0.3677 0.5557
In 0.6172 0.6323 0.4443
In 0.6172 0.8677 0.9443
Rh 0.2138 0.1071 0.6604
Rh 0.2138 0.3929 0.1604
Rh 0.7862 0.6071 0.8396
Rh 0.7862 0.8929 0.3396
```

Results
SG	P2_1/c
total magnetic moment	0.000	μB/cell



--- b ---
The following is a GGA-PBE calculation of Li3InRh after structural relaxation, from the Alexandria database. Values from VASP.

Structure (Quantum ESPRESSO input):
```
&SYSTEM
  ibrav = 0, nat = 5, ntyp = 3
/
ATOMIC_SPECIES
Li 6.94 Li.upf
In 114.82 In.upf
Rh 102.91 Rh.upf
CELL_PARAMETERS angstrom
4.6219 0.0000 0.0000
0.0000 4.6219 0.0000
0.0000 0.0000 4.6219
ATOMIC_POSITIONS crystal
Li 0.0000 0.0000 0.5000
Li 0.0000 0.5000 0.0000
Li 0.5000 0.0000 0.0000
In 0.5000 0.5000 0.5000
Rh 0.0000 0.0000 0.0000
```

Results
SG	Pm-3m
total magnetic moment	0.000	μB/cell



--- c ---
The following is a GGA-PBE calculation of Li3InRh after structural relaxation, from the Alexandria database. Values from VASP.

Structure (Quantum ESPRESSO input):
```
&SYSTEM
  ibrav = 0, nat = 5, ntyp = 3
/
ATOMIC_SPECIES
Li 6.94 Li.upf
In 114.82 In.upf
Rh 102.91 Rh.upf
CELL_PARAMETERS angstrom
2.9845 0.0000 0.0000
0.0011 4.3320 0.0000
1.4467 2.1569 6.6967
ATOMIC_POSITIONS crystal
Li 0.0000 0.0000 0.0000
Li 0.1472 0.6463 0.7099
Li 0.4400 0.4389 0.1216
In 0.7652 0.2600 0.4823
Rh 0.3378 0.8318 0.3383
```

Results
SG	P1
total magnetic moment	0.000	μB/cell



a comes first in stability; the runner-up is 64 meV/atom higher.



--- a ---
The following is a GGA-PBE calculation of Li6InRh2 after structural relaxation, from the Alexandria database. Values from VASP.

Structure (Quantum ESPRESSO input):
```
&SYSTEM
  ibrav = 0, nat = 9, ntyp = 3
/
ATOMIC_SPECIES
Li 6.94 Li.upf
In 114.82 In.upf
Rh 102.91 Rh.upf
CELL_PARAMETERS angstrom
2.1945 1.2670 9.1150
-2.1945 1.2670 9.1150
0.0000 -2.5339 9.1150
ATOMIC_POSITIONS crystal
Li 0.0723 0.0723 0.0723
Li 0.2172 0.2172 0.2172
Li 0.3096 0.3096 0.3096
Li 0.6904 0.6904 0.6904
Li 0.7828 0.7828 0.7828
Li 0.9277 0.9277 0.9277
In 0.5000 0.5000 0.5000
Rh 0.4054 0.4054 0.4054
Rh 0.5946 0.5946 0.5946
```

Results
SG	R-3m
total magnetic moment	0.000	μB/cell



--- b ---
The following is a GGA-PBE calculation of Li6InRh2 after structural relaxation, from the Alexandria database. Values from VASP.

Structure (Quantum ESPRESSO input):
```
&SYSTEM
  ibrav = 0, nat = 9, ntyp = 3
/
ATOMIC_SPECIES
Li 6.94 Li.upf
In 114.82 In.upf
Rh 102.91 Rh.upf
CELL_PARAMETERS angstrom
3.4444 -3.8337 0.0000
3.4444 3.8337 0.0000
-0.8442 0.0000 5.0774
ATOMIC_POSITIONS crystal
Li 0.1748 0.4997 0.3251
Li 0.1754 0.8246 0.0000
Li 0.4997 0.1748 0.3251
Li 0.5003 0.8252 0.6749
Li 0.8246 0.1754 0.0000
Li 0.8252 0.5003 0.6749
In 0.0000 0.0000 0.5000
Rh 0.3363 0.3363 0.8360
Rh 0.6637 0.6637 0.1640
```

Results
SG	C2/m
total magnetic moment	0.000	μB/cell



b comes first in stability; the runner-up is 110 meV/atom higher.



--- a ---
The following is a GGA-PBE calculation of LiInS after structural relaxation, from the Alexandria database. Values from VASP.

Structure (Quantum ESPRESSO input):
```
&SYSTEM
  ibrav = 0, nat = 6, ntyp = 3
/
ATOMIC_SPECIES
Li 6.94 Li.upf
In 114.82 In.upf
S 32.06 S.upf
CELL_PARAMETERS angstrom
2.0148 1.1633 9.5612
-2.0148 1.1633 9.5612
0.0000 -2.3265 9.5612
ATOMIC_POSITIONS crystal
Li 0.1369 0.1369 0.1369
Li 0.8631 0.8631 0.8631
In 0.3816 0.3816 0.3816
In 0.6184 0.6184 0.6184
S 0.2239 0.2239 0.2239
S 0.7761 0.7761 0.7761
```

Results
SG	R-3m
total magnetic moment	0.000	μB/cell



--- b ---
The following is a GGA-PBE calculation of LiInS after structural relaxation, from the Alexandria database. Values from VASP.

Structure (Quantum ESPRESSO input):
```
&SYSTEM
  ibrav = 0, nat = 6, ntyp = 3
/
ATOMIC_SPECIES
Li 6.94 Li.upf
In 114.82 In.upf
S 32.06 S.upf
CELL_PARAMETERS angstrom
1.9971 1.1530 9.7236
-1.9971 1.1530 9.7236
0.0000 -2.3060 9.7236
ATOMIC_POSITIONS crystal
Li 0.0000 0.0000 0.0000
Li 0.2780 0.2780 0.2780
In 0.0957 0.0957 0.0957
In 0.5229 0.5229 0.5229
S 0.3659 0.3659 0.3659
S 0.9166 0.9166 0.9166
```

Results
SG	R3m
total magnetic moment	0.000	μB/cell



a comes first in stability; the runner-up is 36 meV/atom higher.